[1]
The following is a PBE-GGA calculation of an optimized crystal structure of CaAg2Br2, from the Alexandria database.

extended XYZ file:
```
5
Lattice="4.898 0.000 0.000 0.000 4.898 0.000 2.449 2.449 5.632" Properties=species:S:1:pos:R:3 pbc="T T T"
Ca 0.000 0.000 0.000
Br 4.898 2.449 2.816
Br 2.449 4.898 2.816
Ag 2.449 2.449 1.296
Ag 4.898 4.898 4.336
```

Summary:
* polymorph energy (0 for the lowest one): 0.0000 eV per atom
* energy relative to the elements, uncorrected: -0.4816 eV per atom
* symmetry: I4/mmm

[2]
The following is a PBE-GGA calculation of an optimized crystal structure of CaAg2Br2, from the Alexandria database.

extended XYZ file:
```
10
Lattice="7.747 0.000 0.000 0.000 7.747 0.000 0.000 0.000 4.516" Properties=species:S:1:pos:R:3 pbc="T T T"
Ca 0.000 0.000 0.000
Ca 3.873 3.873 0.000
Br 1.717 5.591 2.258
Br 5.591 6.030 2.258
Br 6.030 2.156 2.258
Br 2.156 1.717 2.258
Ag 2.950 6.824 0.000
Ag 6.824 4.796 0.000
Ag 4.796 0.923 0.000
Ag 0.923 2.950 0.000
```

Summary:
* polymorph energy (0 for the lowest one): 0.1204 eV per atom
* energy relative to the elements, uncorrected: -0.3612 eV per atom
* symmetry: P4/mbm